Material: Ac2Pm3ErSe6
Method: DFT, GGA-PBE
State: relaxed

Cell: 7.4018 7.4018 7.3698 Å, 99.69 99.69 120.12°
Fractional coordinates of all 12 atoms:
Se (0.9169, 0.6013, 0.7471)
Se (0.0831, 0.3987, 0.2529)
Pm (0.1755, 0.8245, 0.5000)
Se (0.2266, 0.2266, 0.7382)
Er (0.0000, 0.0000, 0.0000)
Se (0.3987, 0.0831, 0.2529)
Se (0.7734, 0.7734, 0.2618)
Ac (0.6654, 0.3346, 0.0000)
Se (0.6013, 0.9169, 0.7471)
Pm (0.8245, 0.1755, 0.5000)
Pm (0.5000, 0.5000, 0.5000)
Ac (0.3346, 0.6654, 0.0000)

## Properties
The calculation puts the formation energy (no corrections) at -1799.4 meV per atom. The total energy is -5.79 eV/atom. As for the space group: C2/m (12). The density of states at the Fermi level comes out at 6.0 states/eV per cell. For the total magnetic moment, the calculation gives 0.0 μB per formula unit.



Material: AcPm2ErSe4
Method: DFT, GGA-PBE
State: relaxed

Cell: 4.1542 7.2396 7.5231 Å, 71.48 90.00 90.00°
Fractional coordinates of all 8 atoms:
Se (0.0000, 0.2442, 0.2683)
Ac (0.5000, 0.5000, 0.0000)
Se (0.5000, 0.7436, 0.2676)
Er (0.0000, 0.5000, 0.5000)
Se (0.5000, 0.2564, 0.7324)
Pm (0.5000, 0.0000, 0.5000)
Pm (0.0000, 0.0000, 0.0000)
Se (0.0000, 0.7558, 0.7317)

## Properties
The calculation puts the formation energy (no corrections) at -1776.6 meV per atom. The total energy is -5.79 eV/atom. As for the space group: P2/m (10). The density of states at the Fermi level comes out at 4.1 states/eV per cell. For the total magnetic moment, the calculation gives 0.0 μB per formula unit.



Material: Ac3Pm3ErSe8
Method: DFT, GGA-PBE
State: relaxed

Cell: 8.5153 8.5152 8.6978 Å, 119.31 90.00 120.00°
Fractional coordinates of all 15 atoms:
Se (0.7440, 0.4879, 0.7325)
Se (0.7495, 0.9891, 0.7285)
Ac (0.5000, 0.5000, 0.0000)
Pm (0.5000, 0.5000, 0.5000)
Se (0.2560, 0.5121, 0.2675)
Se (0.2505, 0.0109, 0.2715)
Se (0.7605, 0.5210, 0.2714)
Se (0.2396, 0.9891, 0.7285)
Pm (0.0000, 0.5000, 0.5000)
Ac (0.0000, 0.0000, 0.0000)
Ac (0.0000, 0.5000, 0.0000)
Er (0.0000, 0.0000, 0.5000)
Se (0.7604, 0.0109, 0.2715)
Se (0.2395, 0.4790, 0.7286)
Pm (0.5000, 0.0000, 0.5000)

## Properties
The calculation puts the formation energy (no corrections) at -1878.3 meV per atom. The total energy is -5.81 eV/atom. As for the space group: R-3m (166). The density of states at the Fermi level comes out at 7.3 states/eV per cell. For the total magnetic moment, the calculation gives 0.0 μB per formula unit.



Material: Ac3Pm2ErSe6
Method: DFT, GGA-PBE
State: relaxed

Cell: 7.3588 7.3588 7.6306 Å, 99.26 99.26 120.16°
Fractional coordinates of all 12 atoms:
Se (0.3985, 0.0746, 0.2246)
Er (0.0000, 0.0000, 0.0000)
Pm (0.6666, 0.3334, 0.0000)
Ac (0.1709, 0.8291, 0.5000)
Ac (0.8291, 0.1709, 0.5000)
Se (0.7527, 0.7527, 0.2292)
Se (0.2473, 0.2473, 0.7708)
Se (0.0746, 0.3985, 0.2246)
Se (0.6015, 0.9254, 0.7754)
Ac (0.5000, 0.5000, 0.5000)
Pm (0.3334, 0.6666, 0.0000)
Se (0.9254, 0.6015, 0.7754)

## Properties
The calculation puts the formation energy (no corrections) at -1821.0 meV per atom. The total energy is -5.76 eV/atom. As for the space group: C2/m (12). The density of states at the Fermi level comes out at 5.6 states/eV per cell. For the total magnetic moment, the calculation gives 0.0 μB per formula unit.



Material: Ac2Pm5SmEr
Method: DFT, GGA-PBE
State: relaxed

Cell: 5.8380 10.6840 10.9573 Å, 90.00 90.00 105.86°
Fractional coordinates of all 18 atoms:
Er (0.7948, 0.5895, 0.5096)
Er (0.2052, 0.4105, 0.0096)
Ac (0.8829, 0.7658, 0.8181)
Pm (0.2819, 0.5638, 0.3115)
Pm (0.5172, 0.0344, 0.2420)
Pm (0.7049, 0.4098, 0.2031)
Sm (0.5907, 0.1814, 0.9654)
Pm (0.0192, 0.0384, 0.0216)
Sm (0.4093, 0.8186, 0.4654)
Ac (0.8869, 0.7739, 0.2325)
Pm (0.9808, 0.9616, 0.5216)
Pm (0.2951, 0.5902, 0.7031)
Pm (0.7181, 0.4362, 0.8115)
Pm (0.6133, 0.2265, 0.5203)
Pm (0.4828, 0.9656, 0.7420)
Ac (0.1131, 0.2261, 0.7325)
Pm (0.3867, 0.7735, 0.0203)
Ac (0.1171, 0.2342, 0.3181)

## Properties
The total energy is -4.44 eV/atom. As for the space group: Cmc2_1 (36). The formation energy is 0.1388 eV per atom. The density of states at the Fermi level comes out at 24.5 states/eV per cell. For the total magnetic moment, the calculation gives 0.0 μB per formula unit.



Material: Ac2Pm4SmEr
Method: DFT, GGA-PBE
State: relaxed

Cell: 9.8361 9.8361 12.1428 Å, 128.11 128.11 88.45°
Fractional coordinates of all 16 atoms:
Pm (0.7796, 0.2521, 0.0157)
Pm (0.2395, 0.2591, 0.4834)
Ac (0.5000, 0.5000, 0.0000)
Pm (0.7605, 0.7409, 0.5166)
Er (0.0000, 0.0000, 0.0000)
Ac (0.0000, 0.0000, 0.5000)
Pm (0.2409, 0.2605, 0.0166)
Pm (0.7521, 0.2796, 0.5157)
Pm (0.7591, 0.7395, 0.9834)
Sm (0.0000, 0.5000, 0.0000)
Ac (0.5000, 0.0000, 0.5000)
Pm (0.2204, 0.7479, 0.9843)
Er (0.5000, 0.5000, 0.5000)
Ac (0.5000, 0.0000, 0.0000)
Sm (0.0000, 0.5000, 0.5000)
Pm (0.2479, 0.7204, 0.4843)

## Properties
The total energy is -4.17 eV/atom. As for the space group: C2/c (15). The formation energy is 0.3939 eV per atom. The density of states at the Fermi level comes out at 37.2 states/eV per cell. For the total magnetic moment, the calculation gives 0.0 μB per formula unit.



Material: AcPmSm4Er2
Method: DFT, GGA-PBE
State: relaxed

Cell: 5.1499 6.3146 9.6667 Å, 89.78 74.55 65.93°
Fractional coordinates of all 8 atoms:
Sm (0.6272, 0.6239, 0.1217)
Sm (0.1222, 0.1255, 0.6300)
Pm (0.0000, 0.0000, 0.0000)
Er (0.2563, 0.2428, 0.2445)
Sm (0.3728, 0.3761, 0.8783)
Sm (0.8778, 0.8745, 0.3700)
Ac (0.5000, 0.5000, 0.5000)
Er (0.7437, 0.7572, 0.7555)

## Properties
The total energy is -4.57 eV/atom. As for the space group: C2/m (12). The formation energy is 0.0376 eV per atom. The density of states at the Fermi level comes out at 12.3 states/eV per cell. For the total magnetic moment, the calculation gives 0.0 μB per formula unit.



Material: AcPmSm5Er2
Method: DFT, GGA-PBE
State: relaxed

Cell: 5.8137 9.2615 12.1019 Å, 90.00 90.00 108.29°
Fractional coordinates of all 18 atoms:
Pm (0.7488, 0.4977, 0.4241)
Sm (0.9404, 0.8809, 0.5729)
Sm (0.2310, 0.4619, 0.2206)
Er (0.0616, 0.1231, 0.7772)
Sm (0.4187, 0.8374, 0.0897)
Sm (0.0596, 0.1191, 0.0729)
Ac (0.3875, 0.7751, 0.4245)
Sm (0.5792, 0.1585, 0.2634)
Pm (0.2512, 0.5023, 0.9241)
Sm (0.4208, 0.8415, 0.7634)
Er (0.1093, 0.2186, 0.4234)
Ac (0.6125, 0.2249, 0.9245)
Sm (0.5813, 0.1626, 0.5897)
Sm (0.7702, 0.5403, 0.1282)
Sm (0.7690, 0.5381, 0.7206)
Er (0.9384, 0.8769, 0.2772)
Sm (0.2298, 0.4597, 0.6282)
Er (0.8907, 0.7814, 0.9234)

## Properties
The total energy is -4.53 eV/atom. As for the space group: Cmc2_1 (36). The formation energy is 0.0887 eV per atom. The density of states at the Fermi level comes out at 27.2 states/eV per cell. For the total magnetic moment, the calculation gives 0.0 μB per formula unit.



Material: AcPmSm6Er2
Method: DFT, GGA-PBE
State: relaxed

Cell: 9.7106 8.9887 8.9887 Å, 117.07 92.96 92.96°
Fractional coordinates of all 20 atoms:
Sm (0.5556, 0.7523, 0.1170)
Sm (0.0556, 0.1170, 0.7523)
Sm (0.8209, 0.4478, 0.9878)
Sm (0.4444, 0.2477, 0.8830)
Sm (0.1181, 0.7078, 0.4861)
Er (0.0488, 0.3095, 0.2022)
Sm (0.3209, 0.9878, 0.4478)
Er (0.5488, 0.2022, 0.3095)
Er (0.4512, 0.7978, 0.6905)
Sm (0.8819, 0.2922, 0.5139)
Pm (0.2500, 0.4101, 0.5899)
Sm (0.1791, 0.5522, 0.0122)
Sm (0.9444, 0.8830, 0.2477)
Sm (0.3819, 0.5139, 0.2922)
Er (0.9512, 0.6905, 0.7978)
Ac (0.2500, 0.9676, 0.0324)
Sm (0.6791, 0.0122, 0.5522)
Pm (0.7500, 0.5899, 0.4101)
Sm (0.6181, 0.4861, 0.7078)
Ac (0.7500, 0.0324, 0.9676)

## Properties
The total energy is -4.51 eV/atom. As for the space group: C2/c (15). The formation energy is 0.1237 eV per atom. The density of states at the Fermi level comes out at 28.8 states/eV per cell. For the total magnetic moment, the calculation gives 0.0 μB per formula unit.



Material: AcPm5Sm2Er
Method: DFT, GGA-PBE
State: relaxed

Cell: 9.0116 9.0116 10.1084 Å, 116.47 116.47 90.00°
Fractional coordinates of all 18 atoms:
Sm (0.3843, 0.8843, 0.0000)
Pm (0.4282, 0.3368, 0.2649)
Pm (0.0000, 0.0000, 0.0000)
Sm (0.1157, 0.3843, 0.0000)
Sm (0.8843, 0.6157, 0.0000)
Pm (0.3368, 0.8368, 0.2649)
Pm (0.5718, 0.6632, 0.7351)
Pm (0.0718, 0.5718, 0.7351)
Pm (0.9282, 0.4282, 0.2649)
Pm (0.8368, 0.9282, 0.2649)
Er (0.2500, 0.7500, 0.5000)
Pm (0.5000, 0.5000, 0.0000)
Ac (0.7500, 0.7500, 0.5000)
Pm (0.1632, 0.0718, 0.7351)
Er (0.7500, 0.2500, 0.5000)
Ac (0.2500, 0.2500, 0.5000)
Pm (0.6632, 0.1632, 0.7351)
Sm (0.6157, 0.1157, 0.0000)

## Properties
The total energy is -4.39 eV/atom. As for the space group: I4/mcm (140). The formation energy is 0.2663 eV per atom. The density of states at the Fermi level comes out at 22.6 states/eV per cell. For the total magnetic moment, the calculation gives 0.0 μB per formula unit.



Material: AcPm4Sm2Er
Method: DFT, GGA-PBE
State: relaxed

Cell: 5.1930 5.1674 11.6232 Å, 63.61 90.00 90.00°
Fractional coordinates of all 8 atoms:
Sm (0.5000, 0.0000, 0.5000)
Ac (0.5000, 0.5000, 0.0000)
Pm (0.5000, 0.2568, 0.7419)
Pm (0.0000, 0.7586, 0.7417)
Pm (0.0000, 0.2414, 0.2583)
Er (0.0000, 0.5000, 0.5000)
Pm (0.5000, 0.7432, 0.2581)
Sm (0.0000, 0.0000, 0.0000)

## Properties
The total energy is -4.62 eV/atom. As for the space group: P2/m (10). The formation energy is 0.0194 eV per atom. The density of states at the Fermi level comes out at 11.8 states/eV per cell. For the total magnetic moment, the calculation gives 0.0 μB per formula unit.



Material: AcPm2SmEr
Method: DFT, GGA-PBE
State: relaxed

Cell: 7.3575 8.3795 7.3987 Å, 124.49 90.00 90.00°
Fractional coordinates of all 10 atoms:
Pm (0.5000, 0.6952, 0.0000)
Sm (0.7500, 0.9447, 0.8894)
Pm (0.0000, 0.6952, 0.0000)
Sm (0.2500, 0.0553, 0.1106)
Ac (0.2500, 0.7570, 0.5140)
Pm (0.0000, 0.3048, 0.0000)
Pm (0.5000, 0.3048, 0.0000)
Ac (0.7500, 0.2430, 0.4860)
Er (0.2500, 0.3068, 0.6136)
Er (0.7500, 0.6932, 0.3864)

## Properties
The total energy is -4.23 eV/atom. As for the space group: Cmcm (63). The formation energy is 0.3491 eV per atom. The density of states at the Fermi level comes out at 14.0 states/eV per cell. For the total magnetic moment, the calculation gives 0.0 μB per formula unit.